Record 1
# Rb4TmTl3 | OQMD | PBE | optimized geometry
# DFT total energy, Ry per atom: -0.1324
data_Rb4TmTl3
_chemical_formula_sum 'Rb8 Tm2 Tl6'
_symmetry_space_group_name_H-M 'C 1 2/m 1'
_symmetry_Int_Tables_number 12
_cell_length_a 17.210
_cell_length_b 11.274
_cell_length_c 3.807
_cell_angle_alpha 90.00
_cell_angle_beta 102.70
_cell_angle_gamma 90.00
loop_
_symmetry_equiv_pos_as_xyz
'x,y,z'
'-x,-y,-z'
'-x,y,-z'
'x,-y,z'
'x+1/2,y+1/2,z'
'-x+1/2,-y+1/2,-z'
'-x+1/2,y+1/2,-z'
'x+1/2,-y+1/2,z'
loop_
_atom_site_label
_atom_site_type_symbol
_atom_site_fract_x
_atom_site_fract_y
_atom_site_fract_z
Rb1 Rb 0.144 0.194 0.143
Tm1 Tm 0.000 0.500 0.000
Tl1 Tl 0.000 0.000 0.500
Tl2 Tl 0.149 0.500 0.649

=====

Record 2
# RbTlW | OQMD | PBE | optimized geometry
# DFT total energy, Ry per atom: -0.2545
# Relative energy among the computed polymorphs, meV per atom: 0
data_RbTlW
_chemical_formula_sum 'Rb4 Tl4 W4'
_symmetry_space_group_name_H-M 'F -4 3 m'
_symmetry_Int_Tables_number 216
_symmetry_space_group_name_Hall 'F -4 2 3'
_cell_length_a 7.432
_cell_length_b 7.432
_cell_length_c 7.432
_cell_angle_alpha 90.00
_cell_angle_beta 90.00
_cell_angle_gamma 90.00
loop_
_atom_site_label
_atom_site_type_symbol
_atom_site_fract_x
_atom_site_fract_y
_atom_site_fract_z
Rb1 Rb 0.000 0.000 0.000
Tl1 Tl 0.000 0.000 0.500
W1 W 0.250 0.250 0.250

=====

Record 3
# RbTlW | OQMD | PBE | optimized geometry
# DFT total energy, Ry per atom: -0.2268
# Relative energy among the computed polymorphs, meV per atom: 378
data_RbTlW
_chemical_formula_sum 'Rb4 Tl4 W4'
_symmetry_space_group_name_H-M 'F -4 3 m'
_symmetry_Int_Tables_number 216
_symmetry_space_group_name_Hall 'F -4 2 3'
_cell_length_a 7.882
_cell_length_b 7.882
_cell_length_c 7.882
_cell_angle_alpha 90.00
_cell_angle_beta 90.00
_cell_angle_gamma 90.00
loop_
_atom_site_label
_atom_site_type_symbol
_atom_site_fract_x
_atom_site_fract_y
_atom_site_fract_z
Rb1 Rb 0.000 0.000 0.000
Tl1 Tl 0.250 0.250 0.750
W1 W 0.250 0.250 0.250